{
  "formula": "ScTi2SnO",
  "functional": "PBEsol",
  "state": "optimized geometry",
  "dos_at_fermi_per_ev_atom": 0.880,
  "raw_formation_energy_ev_per_atom": 1.310,
  "dft_energy_ev_per_atom": -5.241,
  "spacegroup": "P4/mmm",
  "lattice": [[4.498, 0.000, 0.000], [0.000, 4.498, 0.000], [0.000, 0.000, 5.235]],
  "species": ["Sc", "Ti", "Ti", "Sn", "O"],
  "fractional_positions": [[0.000, 0.000, 0.000], [0.000, 0.500, 0.000], [0.500, 0.000, 0.000], [0.000, 0.000, 0.500], [0.500, 0.500, 0.500]]
}